A geometry-optimized HPt5 structure. Source: OQMD, functional PBE.

Structure (POSCAR):
```
HPt5
1.0
5.2129 0.0000 0.0000
-2.6065 4.5145 0.0000
0.0000 0.0000 4.4782
H Pt
1 5
direct
0.0000 0.0000 0.0000
0.0000 0.5000 0.5000
0.3333 0.6667 0.0000
0.5000 0.0000 0.5000
0.5000 0.5000 0.5000
0.6667 0.3333 0.0000
```

Calculated values
E (eV per atom): -4.939
Total moment (μB per formula unit): 0.01
Space-group type: P6/mmm (191)

A geometry-optimized PaBeIr structure. Source: OQMD, functional PBE.

Structure (POSCAR):
```
PaBeIr
1.0
0.0000 2.9970 2.9970
2.9970 0.0000 2.9970
2.9970 2.9970 0.0000
Pa Be Ir
1 1 1
direct
0.0000 0.0000 0.0000
0.7500 0.7500 0.7500
0.5000 0.5000 0.5000
```

Calculated values
ΔE to the lowest computed polymorph (meV/atom): 0
Total moment (μB per formula unit): 0.07
Space-group type: F-43m (216)

A geometry-optimized Sc3Zn2Ag3 structure. Source: OQMD, functional PBE.

Structure (POSCAR):
```
Sc3Zn2Ag3
1.0
6.1135 0.0000 0.0000
-3.0567 5.2944 0.0000
0.0000 0.0000 4.7052
Sc Zn Ag
3 2 3
direct
0.0095 0.5048 0.0000
0.4952 0.5048 0.0000
0.4952 0.9905 0.0000
0.0000 0.0000 0.0000
0.3333 0.6667 0.5000
0.3215 0.1607 0.5000
0.8393 0.1607 0.5000
0.8393 0.6785 0.5000
```

Calculated values
ΔE to the lowest computed polymorph (meV/atom): 119
Total moment (μB per formula unit): 0.02
Space-group type: P-6m2 (187)